1.
VASP calculation (PBE) on a geometry-optimized Ce12Ga5Tc2 structure.

Lattice parameters (Å, degrees): 6.7566 9.1075 8.5201 94.67 90.00 111.77
Last column: nearest neighbours and their distance in Å.
Fractional coordinates of all 19 atoms:
Ce 0.4015 0.2962 0.5088  1 Ce 2.95, 5 Ga 3.03-3.25
Ce 0.5389 0.0777 0.3018  2 Tc 2.94, 2 Ce 2.95
Ce 0.1053 0.7038 0.4912  1 Ce 2.95, 5 Ga 3.03-3.25
Ce 0.5985 0.7038 0.4912  1 Ce 2.95, 5 Ga 3.03-3.25
Ce 0.0982 0.6696 0.0400  1 Tc 2.85, 1 Ce 2.90, 3 Ga 3.13-3.18
Ce 0.0337 0.0674 0.1790  2 Tc 2.55, 1 Ga 2.84
Ce 0.4287 0.3304 0.9600  1 Tc 2.85, 1 Ce 2.90, 3 Ga 3.13-3.18
Ce 0.8947 0.2962 0.5088  1 Ce 2.95, 5 Ga 3.03-3.25
Ce 0.4611 0.9223 0.6982  2 Tc 2.94, 2 Ce 2.95
Ce 0.9018 0.3304 0.9600  1 Tc 2.85, 1 Ce 2.90, 3 Ga 3.13-3.18
Ce 0.5713 0.6696 0.0400  1 Tc 2.85, 1 Ce 2.90, 3 Ga 3.13-3.18
Ce 0.9663 0.9326 0.8210  2 Tc 2.55, 1 Ga 2.84
Ga 0.7312 0.4625 0.2589  9 Ce 3.13-3.31, 2 Ga 3.38
Ga 0.0000 0.0000 0.5000  6 Ce 2.84-3.03
Ga 0.2264 0.4528 0.2548  9 Ce 3.14-3.27, 2 Ga 3.38
Ga 0.2688 0.5375 0.7411  9 Ce 3.13-3.31, 2 Ga 3.38
Ga 0.7736 0.5472 0.7452  9 Ce 3.14-3.27, 2 Ga 3.38
Tc 0.2960 0.0000 0.0000  4 Ce 2.55-2.85, 1 Tc 2.76
Tc 0.7040 0.0000 0.0000  4 Ce 2.55-2.85, 1 Tc 2.76

Properties
The calculation puts the magnetization at 6.3 μB per formula unit. For the raw total energy, the calculation gives -110.74 eV for the cell shown. Its formation energy is -4.45 kcal/mol of atoms. As for the space group: C2/m, No. 12.

2.
VASP calculation (PBE) on a geometry-optimized Ba2HfAsP structure.

Lattice parameters (Å, degrees): 6.2698 4.8082 6.2698 90.00 90.00 90.00
Last column: nearest neighbours and their distance in Å.
Fractional coordinates of all 5 atoms:
P 0.0000 0.5000 0.0000  2 As 2.40
Ba 0.5000 0.0000 0.0000  2 As 3.13
Ba 0.0000 0.0000 0.5000  2 As 3.13
As 0.0000 0.0000 0.0000  2 P 2.40
Hf 0.5000 0.5000 0.5000  8 Ba 3.95

Properties
The calculation puts the magnetization at 2.7 μB per formula unit. For the raw total energy, the calculation gives -21.34 eV for the cell shown. Its formation energy is 11.62 kcal/mol of atoms. The energy above the most stable polymorph in this dataset comes out at 143 meV/atom. As for the space group: P4/mmm, No. 123.

3.
VASP calculation (PBE) on a geometry-optimized NpCoRu2 structure.

Lattice parameters (Å, degrees): 3.8200 3.9576 3.9576 90.00 90.00 90.00
Last column: nearest neighbours and their distance in Å.
Fractional coordinates of all 4 atoms:
Ru 0.0000 0.0000 0.5000  4 Co 2.75, 4 Np 2.75, 4 Ru 2.80
Ru 0.0000 0.5000 0.0000  4 Co 2.75, 4 Np 2.75, 4 Ru 2.80
Co 0.5000 0.0000 0.0000  8 Ru 2.75, 4 Np 2.80
Np 0.5000 0.5000 0.5000  8 Ru 2.75, 4 Co 2.80

Properties
The calculation puts the magnetization at 0.3 μB per formula unit. For the raw total energy, the calculation gives -38.92 eV for the cell shown. Its formation energy is -1.83 kcal/mol of atoms. As for the space group: P4/mmm, No. 123.

4.
VASP calculation (PBE) on a geometry-optimized LiThGaCu structure.

Lattice parameters (Å, degrees): 4.8665 4.8665 4.8665 60.00 60.00 60.00
Last column: nearest neighbours and their distance in Å.
Fractional coordinates of all 4 atoms:
Cu 0.2500 0.2500 0.2500  4 Th 2.98, 4 Li 2.98
Th 0.0000 0.0000 0.0000  4 Ga 2.98, 4 Cu 2.98
Li 0.5000 0.5000 0.5000  4 Cu 2.98, 4 Ga 2.98
Ga 0.7500 0.7500 0.7500  4 Th 2.98, 4 Li 2.98

Properties
The calculation puts the magnetization at 0.0 μB per formula unit. For the raw total energy, the calculation gives -17.26 eV for the cell shown. Its formation energy is -4.61 kcal/mol of atoms. As for the space group: F-43m, No. 216.

no.,mass density (Mg/m³)
1,7.62
2,4.91
3,13.82
4,7.58